4
Lattice="3.5823 0.0000 0.0000 0.0000 3.5823 0.0000 0.0000 0.0000 5.5326" Properties=species:S:1:pos:R:3 comment="MgTa2Pt, relaxed, DFT GGA-PBE" crystal_system=tetragonal formation_enthalpy_0k_ev_per_atom=0.01 m_tot_mub_per_fu=0.0 pbc="T T T"
Ta 0.0000 0.0000 5.4522
Mg 1.7912 1.7912 1.3832
Ta 0.0000 0.0000 2.8467
Pt 1.7912 1.7912 4.1495